No. 1
Computed, not measured: SmEr3Ag2 after structural relaxation at the PBE-GGA level of DFT.

abc: 8.6362 8.6362 8.6362
angles: 131.83 72.35 129.51
Closest atoms and distances in Å follow each position.
Fractional positions:
1 Sm 0.0000 0.0000 0.0000  2 Ag 2.92
2 Sm 0.5000 0.5000 0.0000  2 Ag 2.92
3 Er 0.0203 0.2500 0.7703  4 Ag 2.91-3.06
4 Er 0.2500 0.7500 0.5000  4 Ag 3.06
5 Er 0.4797 0.2500 0.2297  4 Ag 2.91-3.06
6 Er 0.5203 0.7500 0.7703  4 Ag 2.91-3.06
7 Er 0.7500 0.2500 0.5000  4 Ag 3.06
8 Er 0.9797 0.7500 0.2297  4 Ag 2.91-3.06
9 Ag 0.1438 0.6987 0.8425  6 Er 2.91-3.06, 1 Sm 2.92
10 Ag 0.3562 0.1987 0.5548  6 Er 2.91-3.06, 1 Sm 2.92
11 Ag 0.6438 0.8013 0.4452  6 Er 2.91-3.06, 1 Sm 2.92
12 Ag 0.8562 0.3013 0.1575  6 Er 2.91-3.06, 1 Sm 2.92

Properties
The calculated formation energy comes out at 0.032 eV/atom. The energy above the most stable polymorph in this dataset is 0.238 eV per atom. For the magnetic moment, the calculation gives 0.00 μB per formula unit.

No. 2
Computed, not measured: VTeCl after structural relaxation at the PBE-GGA level of DFT.

abc: 4.1965 7.1736 6.7127
angles: 90.00 90.00 90.00
Closest atoms and distances in Å follow each position.
Fractional positions:
1 V 0.0000 0.1085 0.0000  1 Cl 2.17
2 V 0.5000 0.8915 0.5000  1 Cl 2.17
3 Te 0.0000 0.0975 0.6029  3 V 2.66-2.67
4 Te 0.5000 0.9025 0.1029  3 V 2.66-2.67
5 Cl 0.0000 0.3987 0.0907  1 V 2.17
6 Cl 0.5000 0.6013 0.5907  1 V 2.17

Properties
The energy above the most stable polymorph in this dataset is 0.072 eV per atom. For the magnetic moment, the calculation gives 2.00 μB per formula unit. Its formation energy (no corrections) is -1.52 eV/f.u.

No. 3
Computed, not measured: CeNdSmSe3 after structural relaxation at the PBE-GGA level of DFT.

abc: 7.3662 4.0670 10.9124
angles: 90.00 102.69 90.00
Closest atoms and distances in Å follow each position.
Fractional positions:
1 Ce 0.1201 0.2500 0.1269  5 Se 2.93-3.03
2 Ce 0.8799 0.7500 0.8731  5 Se 2.93-3.03
3 Nd 0.3435 0.2500 0.7990  7 Se 3.03-3.11
4 Nd 0.6565 0.7500 0.2010  7 Se 3.03-3.11
5 Sm 0.2359 0.7500 0.4434  6 Se 2.93-2.99
6 Sm 0.7641 0.2500 0.5566  6 Se 2.93-2.99
7 Se 0.0567 0.7500 0.6576  3 Sm 2.93-2.99, 1 Ce 2.93, 2 Nd 3.09
8 Se 0.2913 0.7500 0.9937  3 Ce 2.94-3.03, 3 Nd 3.03-3.11
9 Se 0.4541 0.2500 0.3358  3 Sm 2.93-2.99, 1 Ce 2.96, 2 Nd 3.08
10 Se 0.5459 0.7500 0.6642  3 Sm 2.93-2.99, 1 Ce 2.96, 2 Nd 3.08
11 Se 0.7087 0.2500 0.0063  3 Ce 2.94-3.03, 3 Nd 3.03-3.11
12 Se 0.9433 0.2500 0.3424  3 Sm 2.93-2.99, 1 Ce 2.93, 2 Nd 3.09

Properties
For the magnetic moment, the calculation gives 1.55 μB per formula unit. Its formation energy (no corrections) is -10.28 eV/f.u.